No. 1
VASP calculation (PBE) on crystalline Ce4Dy3Ir4 at its relaxed geometry.

Unit cell a=4.0265 b=8.8972 c=15.0021 alpha=90.00 beta=90.00 gamma=90.00
Closest atoms and distances in Å follow each position.
Space group Immm (No. 71)
Unique sites:
1 Ce 0.0000 0.2023 0.1666 x8  3 Ir 2.71-2.77
2 Dy 0.0000 0.0000 0.3923 x4  4 Ir 3.04, 1 Dy 3.23
3 Dy 0.0000 0.5000 0.5000 x2  6 Ir 3.11-3.48
4 Ir 0.0000 0.3188 0.0000 x4  2 Ce 2.71
5 Ir 0.0000 0.5000 0.2927 x4  4 Ce 2.77

Computed properties:
As for the formation energy: -6.15 eV/f.u. As for the theoretical density: 11.2 Mg/m³.

***

No. 2
VASP calculation (PBE) on crystalline Ag8PtAu6 at its relaxed geometry.

Unit cell a=7.7922 b=7.7922 c=16.8642 alpha=90.00 beta=90.00 gamma=120.00
Closest atoms and distances in Å follow each position.
Space group R-3 (No. 148, hexagonal axes)
Unique sites:
1 Ag 0.0000 0.0000 0.2324 x6  3 Au 2.80, 6 Ag 2.86-2.95
2 Ag 0.0159 0.3079 0.1260 x18  5 Au 2.79-3.11, 5 Ag 2.86-2.98
3 Pt 0.0000 0.0000 0.0000 x3  6 Au 2.79
4 Au 0.0086 0.6848 0.3738 x18  3 Au 2.75-3.03, 1 Pt 2.79, 5 Ag 2.79-3.05

Computed properties:
The calculation puts the energy above the lowest structure with this stoichiometry at 0.071 eV per atom. As for the formation energy: 1.50 eV/f.u. As for the theoretical density: 12.6 Mg/m³.

***

No. 3
VASP calculation (PBE) on crystalline Li2ZnGe2 at its relaxed geometry.

Unit cell a=6.5201 b=6.5201 c=4.1675 alpha=90.00 beta=90.00 gamma=90.00
Closest atoms and distances in Å follow each position.
Space group P4/mbm (No. 127)
Unique sites:
1 Li 0.1621 0.3379 0.0000 x4  6 Ge 2.79-2.86, 1 Li 2.99
2 Zn 0.0000 0.0000 0.5000 x2  4 Ge 2.53
3 Ge 0.1367 0.6367 0.5000 x4  1 Ge 2.52, 2 Zn 2.53, 2 Li 2.79

Computed properties:
As for the formation energy: -0.96 eV/f.u. As for the theoretical density: 4.2 Mg/m³.

***

No. 4
VASP calculation (PBE) on crystalline La6NdY2Mg at its relaxed geometry.

Unit cell a=10.7071 b=13.8669 c=9.4974 alpha=90.00 beta=99.60 gamma=90.00
Closest atoms and distances in Å follow each position.
Space group C2/c (No. 15)
Unique sites:
1 La 0.0571 0.1211 0.0988 x8  2 Mg 3.29-3.43, 3 La 3.30-3.59, 1 Y 3.58
2 La 0.0897 0.3299 0.9169 x8  3 La 3.42-3.56, 1 Y 3.49, 1 Mg 3.67, 2 Nd 3.72-3.76
3 La 0.2460 0.2895 0.3296 x8  1 Nd 3.25, 1 Mg 3.35, 3 La 3.41-3.59, 1 Y 3.57
4 Nd 0.0000 0.4285 0.2500 x4  2 La 3.25, 2 Y 3.39
5 Y 0.2317 0.4682 0.5969 x8  1 Nd 3.39, 1 Mg 3.48, 5 La 3.49-3.70
6 Mg 0.0000 0.0955 0.7500 x4  8 La 3.29-3.67, 2 Y 3.48

Computed properties:
As for the formation energy: 0.84 eV/f.u. As for the theoretical density: 5.6 Mg/m³.

***

No. 5
VASP calculation (PBE) on crystalline Cd3In2Ag4 at its relaxed geometry.

Unit cell a=8.3611 b=4.8329 c=9.0933 alpha=90.00 beta=90.48 gamma=90.00
Closest atoms and distances in Å follow each position.
Space group C2/m (No. 12)
Unique sites:
1 Cd 0.0000 0.0000 0.0000 x2  8 Ag 2.97-3.07
2 Cd 0.1663 0.5000 0.4405 x4  4 Ag 2.94-2.97, 3 Cd 2.99, 1 In 3.14
3 In 0.1673 0.5000 0.7862 x4  7 Ag 2.93-3.02, 1 Cd 3.14
4 Ag 0.0012 0.0000 0.6626 x4  4 Cd 2.94-3.07, 1 Ag 2.96, 3 In 3.00-3.02
5 Ag 0.1661 0.5000 0.1134 x4  4 In 2.93-2.98, 4 Cd 2.97-2.98

Computed properties:
The calculation puts the energy above the lowest structure with this stoichiometry at 0.000 eV per atom. As for the formation energy: 0.08 eV/f.u. As for the theoretical density: 9.0 Mg/m³.

***

No. 6
VASP calculation (PBE) on crystalline LuTiGaNi at its relaxed geometry.

Unit cell a=6.5198 b=6.5198 c=6.5198 alpha=90.00 beta=90.00 gamma=90.00
Closest atoms and distances in Å follow each position.
Space group F-43m (No. 216)
Unique sites:
1 Lu 0.0000 0.0000 0.0000 x4  4 Ga 2.82, 4 Ni 2.82
2 Ti 0.0000 0.0000 0.5000 x4  4 Ni 2.82, 4 Ga 2.82
3 Ga 0.2500 0.2500 0.2500 x4  4 Ti 2.82, 4 Lu 2.82
4 Ni 0.2500 0.2500 0.7500 x4  4 Lu 2.82, 4 Ti 2.82

Computed properties:
As for the formation energy: -1.29 eV/f.u. As for the theoretical density: 8.4 Mg/m³.

***

No. 7
VASP calculation (PBE) on crystalline CoNi3B at its relaxed geometry.

Unit cell a=4.2075 b=4.2075 c=4.2075 alpha=90.00 beta=90.00 gamma=90.00
Closest atoms and distances in Å follow each position.
Space group Pm-3m (No. 221)
Unique sites:
1 Co 0.0000 0.0000 0.0000 x1  6 Ni 2.10
2 Ni 0.0000 0.0000 0.5000 x3  2 Co 2.10
3 B 0.5000 0.5000 0.5000 x1  12 Ni 2.98

Computed properties:
The calculation puts the energy above the lowest structure with this stoichiometry at 1.585 eV per atom. As for the formation energy: 8.77 eV/f.u. As for the theoretical density: 5.5 Mg/m³.

***

No. 8
VASP calculation (PBE) on crystalline PuSi4Ir6 at its relaxed geometry.

Unit cell a=7.0482 b=7.0482 c=3.8448 alpha=90.00 beta=90.00 gamma=120.00
Closest atoms and distances in Å follow each position.
Space group P-6m2 (No. 187)
Unique sites:
1 Pu 0.0000 0.0000 0.0000 x1  6 Si 3.08, 6 Ir 3.09
2 Si 0.3333 0.6667 0.0000 x1  9 Ir 2.44-2.54
3 Si 0.3947 0.1974 0.5000 x3  6 Ir 2.41-2.53
4 Ir 0.1979 0.3959 0.5000 x3  4 Si 2.41-2.54
5 Ir 0.5330 0.0659 0.0000 x3  5 Si 2.44-2.53

Computed properties:
The calculation puts the formation energy (no corrections) at -751 meV/atom. As for the theoretical density: 15.2 Mg/m³.

***

No. 9
VASP calculation (PBE) on crystalline InFe2I8 at its relaxed geometry.

Unit cell a=13.7193 b=10.7354 c=7.1556 alpha=90.00 beta=95.45 gamma=90.00
Closest atoms and distances in Å follow each position.
Space group C2/m (No. 12)
Unique sites:
1 In 0.0000 0.0000 0.0000 x2  6 I 3.00-3.09
2 Fe 0.1957 0.0000 0.6353 x4  4 I 2.50-2.61
3 I 0.1012 0.1847 0.7707 x8  1 Fe 2.61
4 I 0.1267 0.5000 0.2482 x4  1 Fe 2.50
5 I 0.1879 0.0000 0.2745 x4  1 Fe 2.57

Computed properties:
The calculation puts the formation energy (no corrections) at -267 meV/atom. As for the theoretical density: 3.9 Mg/m³.

***

No. 10
VASP calculation (PBE) on crystalline Tm2TiCo5Si2 at its relaxed geometry.

Unit cell a=9.2681 b=9.2681 c=3.3167 alpha=90.00 beta=90.00 gamma=90.00
Closest atoms and distances in Å follow each position.
Space group P4/mbm (No. 127)
Unique sites:
1 Tm 0.1763 0.3237 0.0000 x4  3 Si 2.67-2.80, 10 Co 2.84-2.97
2 Ti 0.0000 0.0000 0.0000 x2  8 Co 2.65
3 Co 0.0000 0.5000 0.5000 x2  4 Si 2.29
4 Co 0.0659 0.7867 0.5000 x8  2 Si 2.32
5 Si 0.1201 0.6201 0.0000 x4  6 Co 2.29-2.32

Computed properties:
The calculation puts the formation energy (no corrections) at -501 meV/atom. As for the theoretical density: 8.6 Mg/m³.

***

No. 11
VASP calculation (PBE) on crystalline SmEr2Zn2Ge2 at its relaxed geometry.

Unit cell a=4.1351 b=4.1351 c=33.2204 alpha=90.00 beta=90.00 gamma=120.00
Closest atoms and distances in Å follow each position.
Space group R-3m (No. 166, hexagonal axes)
Unique sites:
1 Sm 0.0000 0.0000 0.0000 x3  6 Zn 3.08, 6 Ge 3.33
2 Er 0.0000 0.0000 0.1244 x6  3 Ge 2.99, 3 Zn 3.24
3 Zn 0.0000 0.0000 0.3919 x6  3 Ge 2.42
4 Ge 0.0000 0.0000 0.2633 x6  3 Zn 2.42

Computed properties:
As for the formation energy: -3.10 eV/f.u. As for the theoretical density: 7.7 Mg/m³.

***

No. 12
VASP calculation (PBE) on crystalline GdYSnRh at its relaxed geometry.

Unit cell a=7.2571 b=7.2571 c=7.2571 alpha=90.00 beta=90.00 gamma=90.00
Closest atoms and distances in Å follow each position.
Space group F-43m (No. 216)
Unique sites:
1 Gd 0.0000 0.0000 0.0000 x4  4 Sn 3.14, 4 Rh 3.14
2 Y 0.0000 0.0000 0.5000 x4  4 Sn 3.14, 4 Rh 3.14
3 Sn 0.2500 0.2500 0.7500 x4  4 Gd 3.14, 4 Y 3.14
4 Rh 0.2500 0.2500 0.2500 x4  4 Gd 3.14, 4 Y 3.14

Computed properties:
As for the formation energy: -2.60 eV/f.u. As for the theoretical density: 8.1 Mg/m³.

***

| no. | total magnetization (μB/f.u.) | uncorrected energy (eV for the cell shown) |
| --- | --- | --- |
| 1 | 2.20 | -158.264 |
| 2 | 0.00 | -141.036 |
| 3 | 0.00 | -30.584 |
| 4 | 0.00 | -192.050 |
| 5 | 0.00 | -39.090 |
| 6 | 1.04 | -90.076 |
| 7 | 4.14 | -22.357 |
| 8 | 4.88 | -97.453 |
| 9 | 9.00 | -69.999 |
| 10 | 0.00 | -136.444 |
| 11 | 0.00 | -86.187 |
| 12 | 7.06 | -138.004 |